Below is a relaxed structure of K3ScTc, with properties calculated at the GGA-PBE level.

The energy above the lowest structure with this stoichiometry comes out at 324.3 meV per atom. For the density of states at the Fermi level, the calculation gives 31.99 states/eV/f.u.

The structure belongs to space group Pm-3m (No. 221); the cell edges are 6.7921, 6.7921 and 6.7921 Å and the angles 90.00°, 90.00° and 90.00°. The asymmetric unit holds K at (0.0000, 0.0000, 0.5000), Sc at (0.0000, 0.0000, 0.0000) and Tc at (0.5000, 0.5000, 0.5000).